A geometry-optimized CaMo2Pt structure. Source: Alexandria, functional GGA-PBE.

For the energy above the most stable polymorph in this dataset, the calculation gives 4.33 kcal/mol of atoms. The value obtained for the total energy is -7.189 eV per atom. Its energy of formation is 237 meV/atom.

It has space group F-43m (No. 216), with a = 6.541 Å, b = 6.541 Å, c = 6.541 Å, α = 90.00°, β = 90.00° and γ = 90.00°. The asymmetric unit holds Ca at (0.000, 0.000, 0.000), Mo at (0.000, 0.000, 0.500), Mo at (0.250, 0.250, 0.750) and Pt at (0.250, 0.250, 0.250).